No. 1
Entry from Alexandria via LeMat-Bulk: crystalline Tb2InRuC at its relaxed geometry (PBE).

a b c (Å): 5.058 5.058 3.951
angles (deg): 90.00 90.00 90.00
Space group P4/mmm (No. 123)
Symmetry-distinct sites (fractional):
Tb 0.000 0.500 0.000 (multiplicity 2)
In 0.000 0.000 0.500 (multiplicity 1)
Ru 0.500 0.500 0.500 (multiplicity 1)
C 0.500 0.500 0.000 (multiplicity 1)

Uncorrected energy in eV per atom: -6.510
Energy of formation from the pure elements in meV per atom: -409.8


No. 2
Entry from Alexandria via LeMat-Bulk: crystalline SiMo2Pb at its relaxed geometry (PBE).

a b c (Å): 3.345 4.315 4.876
angles (deg): 90.00 90.00 90.00
Space group Pmmm (No. 47)
Symmetry-distinct sites (fractional):
Si 0.000 0.000 0.000 (multiplicity 1)
Mo 0.000 0.500 0.500 (multiplicity 1)
Mo 0.500 0.500 0.000 (multiplicity 1)
Pb 0.500 0.000 0.500 (multiplicity 1)

Uncorrected energy in eV per atom: -7.058
Distance to the lowest polymorph of the same formula in eV per atom: 0.481


No. 3
Entry from Alexandria via LeMat-Bulk: crystalline Rb3CoBi at its relaxed geometry (PBE).

a b c (Å): 6.398 6.398 6.398
angles (deg): 90.00 90.00 90.00
Space group Pm-3m (No. 221)
Symmetry-distinct sites (fractional):
Rb 0.000 0.000 0.500 (multiplicity 3)
Co 0.000 0.000 0.000 (multiplicity 1)
Bi 0.500 0.500 0.500 (multiplicity 1)

Uncorrected energy in eV per atom: -2.150
Energy of formation from the pure elements in meV per atom: 627.6
Distance to the lowest polymorph of the same formula in eV per atom: 0.000


No. 4
Entry from Alexandria via LeMat-Bulk: crystalline Na2Sc at its relaxed geometry (PBE).

a b c (Å): 3.320 6.401 9.107
angles (deg): 77.04 89.72 75.47
Space group P-1 (No. 2)
Symmetry-distinct sites (fractional):
Na 0.024 0.434 0.297 (multiplicity 2)
Na 0.308 0.901 0.339 (multiplicity 2)
Sc 0.355 0.781 0.989 (multiplicity 2)

Uncorrected energy in eV per atom: -2.731
Energy of formation from the pure elements in meV per atom: 259.0
Distance to the lowest polymorph of the same formula in eV per atom: 0.007


No. 5
Entry from Alexandria via LeMat-Bulk: crystalline SmErAl2Pd5 at its relaxed geometry (PBE).

a b c (Å): 4.239 4.239 9.252
angles (deg): 90.00 90.00 90.00
Space group P4/mmm (No. 123)
Symmetry-distinct sites (fractional):
Sm 0.000 0.000 0.000 (multiplicity 1)
Er 0.000 0.000 0.500 (multiplicity 1)
Al 0.500 0.500 0.361 (multiplicity 2)
Pd 0.000 0.500 0.227 (multiplicity 4)
Pd 0.500 0.500 0.000 (multiplicity 1)

Uncorrected energy in eV per atom: -5.562
Energy of formation from the pure elements in meV per atom: -814.5


No. 6
Entry from Alexandria via LeMat-Bulk: crystalline TaVRh2 at its relaxed geometry (PBE).

a b c (Å): 3.967 3.967 3.778
angles (deg): 90.00 90.00 90.00
Space group P4/mmm (No. 123)
Symmetry-distinct sites (fractional):
Ta 0.000 0.000 0.000 (multiplicity 1)
V 0.500 0.500 0.000 (multiplicity 1)
Rh 0.000 0.500 0.500 (multiplicity 2)

Uncorrected energy in eV per atom: -9.354
Energy of formation from the pure elements in meV per atom: -435.3
Distance to the lowest polymorph of the same formula in eV per atom: 0.000


No. 7
Entry from Alexandria via LeMat-Bulk: crystalline SrZn4Re at its relaxed geometry (PBE).

a b c (Å): 7.475 7.475 7.475
angles (deg): 90.00 90.00 90.00
Space group F-43m (No. 216)
Symmetry-distinct sites (fractional):
Sr 0.000 0.000 0.000 (multiplicity 4)
Zn 0.123 0.123 0.623 (multiplicity 16)
Re 0.250 0.250 0.250 (multiplicity 4)

Uncorrected energy in eV per atom: -2.906
Energy of formation from the pure elements in meV per atom: 298.1


No. 8
Entry from Alexandria via LeMat-Bulk: crystalline TbHf2S6 at its relaxed geometry (PBE).

a b c (Å): 12.479 5.028 8.732
angles (deg): 90.00 127.64 90.00
Space group C2/m (No. 12)
Symmetry-distinct sites (fractional):
Tb 0.000 0.000 0.000 (multiplicity 2)
Hf 0.173 0.000 0.587 (multiplicity 4)
S 0.055 0.000 0.732 (multiplicity 4)
S 0.123 0.500 0.063 (multiplicity 4)
S 0.228 0.500 0.608 (multiplicity 4)

Uncorrected energy in eV per atom: -6.929


No. 9
Entry from Alexandria via LeMat-Bulk: crystalline Re3GeBi at its relaxed geometry (PBE).

a b c (Å): 4.658 4.658 4.658
angles (deg): 90.00 90.00 90.00
Space group Pm-3m (No. 221)
Symmetry-distinct sites (fractional):
Re 0.000 0.000 0.500 (multiplicity 3)
Ge 0.000 0.000 0.000 (multiplicity 1)
Bi 0.500 0.500 0.500 (multiplicity 1)

Uncorrected energy in eV per atom: -7.463
Energy of formation from the pure elements in meV per atom: 1705.9
Distance to the lowest polymorph of the same formula in eV per atom: 0.000


No. 10
Entry from Alexandria via LeMat-Bulk: crystalline Pr4SiCl2O at its relaxed geometry (PBE).

a b c (Å): 6.888 4.003 7.557
angles (deg): 90.00 109.02 90.00
Space group P2/m (No. 10)
Symmetry-distinct sites (fractional):
Pr 0.212 0.000 0.199 (multiplicity 2)
Pr 0.224 0.500 0.795 (multiplicity 2)
Si 0.500 0.000 0.000 (multiplicity 1)
Cl 0.000 0.000 0.500 (multiplicity 1)
Cl 0.500 0.500 0.500 (multiplicity 1)
O 0.000 0.500 0.000 (multiplicity 1)

Uncorrected energy in eV per atom: -5.735


No. 11
Entry from Alexandria via LeMat-Bulk: crystalline NaHCl3 at its relaxed geometry (PBE).

a b c (Å): 10.481 10.402 4.458
angles (deg): 90.00 90.00 90.00
Space group Pnma (No. 62)
Symmetry-distinct sites (fractional):
Na 0.000 0.000 0.000 (multiplicity 4)
H 0.139 0.250 0.493 (multiplicity 4)
Cl 0.093 0.750 0.148 (multiplicity 4)
Cl 0.143 0.101 0.498 (multiplicity 8)

Uncorrected energy in eV per atom: -2.739
Distance to the lowest polymorph of the same formula in eV per atom: 0.000


No. 12
Entry from Alexandria via LeMat-Bulk: crystalline Ce2Bi3S8 at its relaxed geometry (PBE).

a b c (Å): 14.204 8.339 6.927
angles (deg): 90.00 110.78 90.00
Space group C2/m (No. 12)
Symmetry-distinct sites (fractional):
Ce 0.242 0.000 0.450 (multiplicity 4)
Bi 0.000 0.238 0.500 (multiplicity 4)
Bi 0.000 0.500 0.000 (multiplicity 2)
S 0.121 0.500 0.752 (multiplicity 4)
S 0.130 0.275 0.274 (multiplicity 8)
S 0.132 0.000 0.704 (multiplicity 4)

Uncorrected energy in eV per atom: -5.321